[1]
The following is a PBE-GGA calculation of crystalline KAsCl3 at its relaxed geometry, from Alexandria.

For the relative energy among the computed polymorphs, the calculation gives 0.000 eV per atom.

The structure belongs to space group P1 (No. 1); the cell edges are 5.977, 6.102 and 10.342 Å and the angles 82.80°, 86.54° and 89.56°. The inequivalent atoms are K at (0.000, 0.000, 0.000), K at (0.498, 0.495, 0.028), As at (0.174, 0.676, 0.630), As at (0.324, 0.817, 0.398), Cl at (0.007, 0.512, 0.942), Cl at (0.111, 0.022, 0.673), Cl at (0.387, 0.472, 0.355), Cl at (0.491, 0.983, 0.086), Cl at (0.521, 0.630, 0.695) and Cl at (0.976, 0.863, 0.333).

[2]
The following is a PBE-GGA calculation of crystalline KAsCl4 at its relaxed geometry, from Alexandria.

For the relative energy among the computed polymorphs, the calculation gives 1.275 eV per atom.

The structure belongs to space group F-43m (No. 216); the cell edges are 8.717, 8.717 and 8.717 Å and the angles 90.00°, 90.00° and 90.00°. The inequivalent atoms are K at (0.000, 0.000, 0.000), As at (0.250, 0.250, 0.750) and Cl at (0.124, 0.124, 0.376).

[3]
The following is a PBE-GGA calculation of crystalline KAs2Cl8 at its relaxed geometry, from Alexandria.

The structure belongs to space group C2/m (No. 12); the cell edges are 13.463, 8.662 and 8.018 Å and the angles 90.00°, 111.20° and 90.00°. The inequivalent atoms are K at (0.000, 0.000, 0.000), As at (0.180, 0.000, 0.662), Cl at (0.117, 0.206, 0.775), Cl at (0.150, 0.500, 0.163) and Cl at (0.198, 0.000, 0.367).

[4]
The following is a PBE-GGA calculation of crystalline K3AsCl at its relaxed geometry, from Alexandria.

For the relative energy among the computed polymorphs, the calculation gives 0.000 eV per atom.

The structure belongs to space group Pm-3m (No. 221); the cell edges are 5.844, 5.844 and 5.844 Å and the angles 90.00°, 90.00° and 90.00°. The inequivalent atoms are K at (0.000, 0.000, 0.500), As at (0.500, 0.500, 0.500) and Cl at (0.000, 0.000, 0.000).

| no. | calculated total energy (eV per atom) | raw formation energy (meV/atom) | N(E_F) (states/eV per cell) |
| --- | --- | --- | --- |
| 1 | -3.373 | -1116 | 0.00 |
| 2 | -2.029 | 159 | 29.68 |
| 3 | -3.065 | -777 | 13.73 |
| 4 | -2.700 | -742 | 6.30 |